{"formula": "Nd8HoCd2", "functional": "PBE", "state": "relaxed", "e_form_ev_per_fu": 0.127, "magmom_total_mub_per_cell": 0.00, "n_ef_per_ev_cell": 13.686, "final_energy_ev_per_atom": -4.038, "lattice": [[5.751, -0.291, -0.437], [-1.376, 8.826, -0.746], [-1.376, -4.087, 7.858]], "species": ["Nd", "Nd", "Nd", "Nd", "Nd", "Nd", "Nd", "Nd", "Ho", "Cd", "Cd"], "frac_coords": [[0.889, 0.907, 0.683], [0.889, 0.683, 0.907], [0.298, 0.599, 0.599], [0.500, 0.780, 0.220], [0.500, 0.220, 0.780], [0.702, 0.401, 0.401], [0.111, 0.317, 0.093], [0.111, 0.093, 0.317], [0.500, 0.000, 0.000], [0.000, 0.306, 0.694], [0.000, 0.694, 0.306]]}

=====

{"formula": "Nd2Ho3Cd4", "functional": "PBE", "state": "relaxed", "e_form_ev_per_fu": -1.515, "magmom_total_mub_per_cell": 0.00, "n_ef_per_ev_cell": 16.120, "final_energy_ev_per_atom": -3.161, "lattice": [[6.824, 0.000, 0.000], [0.000, 8.229, 0.000], [-3.412, 0.000, 9.241]], "species": ["Nd", "Nd", "Nd", "Nd", "Ho", "Ho", "Ho", "Ho", "Ho", "Ho", "Cd", "Cd", "Cd", "Cd", "Cd", "Cd", "Cd", "Cd"], "frac_coords": [[0.093, 0.600, 0.185], [0.907, 0.400, 0.815], [0.407, 0.100, 0.815], [0.593, 0.900, 0.185], [0.000, 0.000, 0.000], [0.500, 0.500, 0.000], [0.504, 0.750, 0.508], [0.996, 0.250, 0.492], [0.496, 0.250, 0.492], [0.004, 0.750, 0.508], [0.675, 0.750, 0.850], [0.825, 0.250, 0.150], [0.325, 0.250, 0.150], [0.175, 0.750, 0.850], [0.163, 0.986, 0.326], [0.837, 0.014, 0.674], [0.337, 0.486, 0.674], [0.663, 0.514, 0.326]]}